Entry 1:
La2Ho5Tm12: optimized geometry, GGA-PBE.

a b c (Å): 9.156 12.286 8.419
angles (deg): 132.25 90.00 111.88
Element x y z (fractional)
Tm 0.565 0.747 0.395
Tm 0.556 0.112 0.786
Tm 0.435 0.253 0.605
Tm 0.818 0.253 0.605
Tm 0.903 0.807 0.690
Tm 0.444 0.888 0.214
Tm 0.661 0.683 0.931
Tm 0.097 0.193 0.310
Tm 0.182 0.747 0.395
Tm 0.022 0.683 0.931
Tm 0.978 0.317 0.069
Tm 0.339 0.317 0.069
Ho 0.766 0.531 0.111
Ho 0.303 0.607 0.612
Ho 0.234 0.469 0.889
Ho 0.697 0.393 0.388
Ho 0.000 0.000 0.500
La 0.692 0.000 0.000
La 0.308 0.000 0.000

Summary:
- ΔH_f (0 K) (eV/atom) = 0.140

---

Entry 2:
SnTeP: optimized geometry, GGA-PBE.

a b c (Å): 5.197 4.095 4.095
angles (deg): 120.00 90.00 90.00
Element x y z (fractional)
Sn 0.040 0.000 0.000
Te 0.657 0.667 0.333
P 0.303 0.333 0.667

Summary:
- raw formation energy (eV/atom) = 0.102

---

Entry 3:
ScRu3: optimized geometry, GGA-PBE.

a b c (Å): 2.838 8.957 2.838
angles (deg): 99.12 60.00 99.12
Element x y z (fractional)
Ru 0.250 0.750 0.250
Ru 0.503 0.508 0.503
Ru 0.997 0.992 0.997
Sc 0.750 0.250 0.750

Summary:
- ΔH_f (0 K) (eV/atom) = 0.162

---

Entry 4:
MnP2Pb: optimized geometry, GGA-PBE.

a b c (Å): 3.024 3.024 7.713
angles (deg): 90.00 90.00 90.00
Element x y z (fractional)
Pb 0.000 0.000 0.550
P 0.500 0.500 0.143
P 0.000 0.000 0.965
Mn 0.500 0.500 0.843

Summary:
- ΔH_f (0 K) (eV/atom) = 0.168

---

Entry 5:
TiTl5Te4: optimized geometry, GGA-PBE.

a b c (Å): 4.330 8.879 9.844
angles (deg): 113.10 102.70 90.00
Each line ends with the local moment (μB).
Element x y z (fractional)
Te 0.347 0.964 0.693  -0.02
Te 0.653 0.036 0.307  -0.02
Te 0.969 0.766 0.939  -0.03
Te 0.031 0.234 0.061  -0.03
Tl 0.500 0.500 0.000  0.00
Tl 0.152 0.765 0.304  0.00
Tl 0.206 0.327 0.412  0.00
Tl 0.848 0.235 0.696  0.00
Tl 0.794 0.673 0.588  0.00
Ti 0.500 0.000 0.000  0.66

Summary:
- raw formation energy (eV/atom) = -0.331

---

Entry 6:
TbPu3Zn8: optimized geometry, GGA-PBE.

a b c (Å): 5.496 5.495 8.737
angles (deg): 90.01 90.00 120.01
Each line ends with the local moment (μB).
Element x y z (fractional)
Tb 0.000 0.000 0.569  0.03
Pu 0.667 0.333 0.423  5.31
Pu 0.667 0.333 0.062  -5.32
Pu 0.000 0.000 0.949  -5.43
Zn 0.997 0.498 0.748  0.00
Zn 0.501 0.498 0.748  0.00
Zn 0.502 0.003 0.748  0.00
Zn 0.167 0.833 0.252  0.00
Zn 0.333 0.667 0.501  -0.01
Zn 0.665 0.833 0.252  0.00
Zn 0.333 0.667 0.997  0.01
Zn 0.167 0.335 0.252  0.00

Summary:
- ΔH_f (0 K) (eV/atom) = -0.190

---

Entry 7:
K2RbH6: optimized geometry, GGA-PBE.

a b c (Å): 5.725 5.725 5.725
angles (deg): 60.00 60.00 60.00
Element x y z (fractional)
Rb 0.000 0.000 0.000
H 0.361 0.639 0.639
H 0.639 0.361 0.639
H 0.361 0.639 0.361
H 0.639 0.361 0.361
H 0.639 0.639 0.361
H 0.361 0.361 0.639
K 0.250 0.250 0.250
K 0.750 0.750 0.750

---

Entry 8:
NdHo4Tm6: optimized geometry, GGA-PBE.

a b c (Å): 5.580 5.571 25.445
angles (deg): 90.00 90.00 120.06
Element x y z (fractional)
Nd 0.832 0.664 0.250
Nd 0.168 0.336 0.750
Ho 0.498 0.995 0.379
Ho 0.502 0.005 0.621
Ho 0.166 0.332 0.459
Ho 0.498 0.995 0.121
Ho 0.834 0.668 0.959
Ho 0.502 0.005 0.879
Ho 0.834 0.668 0.541
Ho 0.166 0.332 0.041
Tm 0.165 0.329 0.319
Tm 0.165 0.329 0.181
Tm 0.831 0.663 0.398
Tm 0.500 0.000 0.000
Tm 0.831 0.663 0.102
Tm 0.501 0.003 0.750
Tm 0.835 0.671 0.681
Tm 0.499 0.997 0.250
Tm 0.500 0.000 0.500
Tm 0.169 0.337 0.898
Tm 0.169 0.337 0.602
Tm 0.835 0.671 0.819

Summary:
- ΔH_f (0 K) (eV/atom) = 0.121

---

Entry 9:
Ca3Bi5Te12: optimized geometry, GGA-PBE.

a b c (Å): 16.011 16.011 16.011
angles (deg): 109.47 109.47 109.47
Element x y z (fractional)
Te 0.139 0.416 0.084
Te 0.139 0.723 0.554
Te 0.446 0.668 0.084
Te 0.416 0.361 0.584
Te 0.946 0.361 0.277
Te 0.084 0.916 0.361
Te 0.332 0.777 0.416
Te 0.723 0.584 0.168
Te 0.416 0.139 0.584
Te 0.916 0.084 0.861
Te 0.223 0.554 0.639
Te 0.332 0.554 0.416
Te 0.639 0.584 0.916
Te 0.054 0.639 0.723
Te 0.916 0.832 0.777
Te 0.361 0.416 0.084
Te 0.361 0.946 0.777
Te 0.446 0.777 0.861
Te 0.084 0.916 0.139
Te 0.084 0.168 0.446
Te 0.832 0.916 0.054
Te 0.916 0.832 0.554
Te 0.861 0.584 0.916
Te 0.723 0.139 0.054
Te 0.861 0.277 0.446
Te 0.668 0.223 0.584
Te 0.832 0.916 0.277
Te 0.668 0.446 0.584
Te 0.639 0.054 0.223
Te 0.277 0.416 0.832
Te 0.168 0.084 0.723
Te 0.584 0.723 0.668
Te 0.584 0.861 0.416
Te 0.416 0.277 0.332
Te 0.554 0.223 0.139
Te 0.584 0.639 0.416
Te 0.168 0.084 0.946
Te 0.916 0.084 0.639
Te 0.084 0.168 0.223
Te 0.777 0.332 0.916
Te 0.554 0.332 0.916
Te 0.054 0.416 0.832
Te 0.223 0.668 0.084
Te 0.946 0.584 0.168
Te 0.584 0.946 0.668
Te 0.277 0.861 0.946
Te 0.416 0.054 0.332
Te 0.777 0.446 0.361
Bi 0.500 0.500 0.500
Bi 0.125 0.750 0.375
Bi 0.750 0.125 0.875
Bi 0.750 0.625 0.375
Bi 0.875 0.625 0.750
Bi 0.625 0.750 0.875
Bi 0.875 0.250 0.625
Bi 0.625 0.875 0.250
Bi 0.250 0.375 0.625
Bi 0.500 0.000 0.000
Bi 0.000 0.500 0.000
Bi 0.000 0.000 0.500
Bi 0.500 0.500 0.000
Bi 0.500 0.000 0.500
Bi 0.000 0.500 0.500
Bi 0.250 0.875 0.125
Bi 0.000 0.000 0.000
Bi 0.375 0.125 0.750
Bi 0.125 0.375 0.250
Bi 0.375 0.250 0.125
Ca 0.875 0.125 0.250
Ca 0.125 0.250 0.875
Ca 0.625 0.250 0.375
Ca 0.750 0.875 0.625
Ca 0.375 0.625 0.250
Ca 0.750 0.375 0.125
Ca 0.375 0.750 0.625
Ca 0.250 0.125 0.375
Ca 0.250 0.625 0.875
Ca 0.875 0.750 0.125
Ca 0.125 0.875 0.750
Ca 0.625 0.375 0.750

Summary:
- raw formation energy (eV/atom) = -0.447

---

Entry 10:
BeSi2W: optimized geometry, GGA-PBE.

a b c (Å): 4.705 4.705 4.705
angles (deg): 135.80 135.80 64.29
Element x y z (fractional)
Si 0.000 0.000 0.000
Si 0.500 0.500 0.000
Be 0.750 0.250 0.500
W 0.250 0.750 0.500

Summary:
- raw formation energy (eV/atom) = 0.114

---

Entry 11:
NdIn2PbS4: optimized geometry, GGA-PBE.

a b c (Å): 4.111 7.344 7.367
angles (deg): 71.24 90.00 90.00
Element x y z (fractional)
Nd 0.000 0.500 0.500
S 0.000 0.251 0.270
S 0.500 0.731 0.276
S 0.500 0.269 0.724
S 0.000 0.749 0.730
In 0.000 0.000 0.000
In 0.500 0.000 0.500
Pb 0.500 0.500 0.000

Summary:
- raw formation energy (eV/atom) = -0.860

---

Entry 12:
NaCrSe3: optimized geometry, GGA-PBE.

a b c (Å): 5.841 8.823 8.823
angles (deg): 93.47 94.47 94.47
Each line ends with the local moment (μB).
Element x y z (fractional)
Se 0.128 0.043 0.193  -0.14
Se 0.050 0.754 0.454  -0.20
Se 0.395 0.067 0.683  -0.21
Se 0.372 0.807 0.957  -0.14
Se 0.872 0.957 0.807  -0.14
Se 0.605 0.933 0.317  -0.21
Se 0.450 0.546 0.246  -0.20
Se 0.550 0.454 0.754  -0.20
Se 0.950 0.246 0.546  -0.20
Se 0.105 0.317 0.933  -0.21
Se 0.628 0.193 0.043  -0.14
Se 0.895 0.683 0.067  -0.21
Na 0.941 0.426 0.262  0.00
Na 0.441 0.262 0.426  0.00
Na 0.059 0.574 0.738  0.00
Na 0.559 0.738 0.574  0.00
Cr 0.250 0.070 0.930  2.33
Cr 0.250 0.766 0.234  2.02
Cr 0.750 0.234 0.766  2.02
Cr 0.750 0.930 0.070  2.33

Summary:
- raw formation energy (eV/atom) = -0.503

---

Entry 13:
La2Co2B: optimized geometry, GGA-PBE.

a b c (Å): 5.381 5.381 5.056
angles (deg): 57.85 57.85 90.00
Element x y z (fractional)
La 0.750 0.250 0.500
La 0.250 0.750 0.500
Co 0.292 0.292 0.416
Co 0.708 0.708 0.584
B 0.000 0.000 0.000

Summary:
- ΔH_f (0 K) (eV/atom) = 0.046

---

Entry 14:
CoNi2AuN: optimized geometry, GGA-PBE.

a b c (Å): 3.863 3.863 3.790
angles (deg): 90.00 90.00 90.00
Each line ends with the local moment (μB).
Element x y z (fractional)
Au 0.500 0.500 0.500  0.01
N 0.000 0.000 0.000  0.06
Ni 0.500 0.000 0.000  0.26
Ni 0.000 0.500 0.000  0.26
Co 0.000 0.000 0.500  1.44

Summary:
- raw formation energy (eV/atom) = 0.016

---

Entry 15:
BaCrFe2: optimized geometry, GGA-PBE.

a b c (Å): 5.431 5.431 5.431
angles (deg): 134.48 134.48 66.34
Each line ends with the local moment (μB).
Element x y z (fractional)
Cr 0.750 0.250 0.500  3.58
Fe 0.000 0.000 0.000  2.89
Fe 0.500 0.500 0.000  2.89
Ba 0.250 0.750 0.500  0.01

Summary:
- ΔH_f (0 K) (eV/atom) = 1.215

---

Entry 16:
La5U2Se12: optimized geometry, GGA-PBE.

a b c (Å): 7.881 9.165 9.627
angles (deg): 105.79 90.00 115.46
Each line ends with the local moment (μB).
Element x y z (fractional)
Se 0.103 0.702 0.433  -0.01
Se 0.401 0.298 0.567  -0.01
Se 0.906 0.346 0.089  -0.04
Se 0.003 0.005 0.806  -0.06
Se 0.997 0.995 0.194  -0.06
Se 0.599 0.702 0.433  -0.01
Se 0.440 0.346 0.089  -0.04
Se 0.503 0.006 0.214  -0.05
Se 0.094 0.654 0.911  -0.04
Se 0.560 0.654 0.911  -0.04
Se 0.497 0.994 0.786  -0.05
Se 0.897 0.298 0.567  -0.01
La 0.000 0.000 0.500  -0.01
La 0.705 0.410 0.363  0.00
La 0.312 0.624 0.175  -0.01
La 0.688 0.376 0.825  -0.01
La 0.295 0.590 0.637  0.00
U 0.747 0.000 0.000  1.70
U 0.253 0.000 0.000  1.70

Summary:
- raw formation energy (eV/atom) = -1.697

---

Entry 17:
KAgSbS3: optimized geometry, GGA-PBE.

a b c (Å): 3.934 7.574 10.554
angles (deg): 90.00 90.00 105.05
Element x y z (fractional)
S 0.375 0.749 0.527
S 0.044 0.087 0.750
S 0.375 0.749 0.973
S 0.625 0.251 0.027
S 0.956 0.913 0.250
S 0.625 0.251 0.473
Sb 0.000 0.000 0.500
Sb 0.000 0.000 0.000
K 0.720 0.439 0.750
K 0.280 0.561 0.250
Ag 0.418 0.836 0.750
Ag 0.582 0.164 0.250

Summary:
- raw formation energy (eV/atom) = -0.386

---

Across the entries above, electronic total energy takes the values -4.4075 -4.0823 -8.3775 -5.7565 -3.5599 -5.0081 -2.0393 -4.4165 -3.6023 -6.7672 -4.6678 -4.7822 -6.1029 -6.0387 -5.9032 -6.3828 -3.7947 eV/atom, respectively.
Across the entries above, total magnetic moment takes the values 0.00 0.00 0.00 0.00 0.68 5.66 0.00 0.00 0.00 0.00 0.00 1.55 0.00 2.01 9.79 3.00 0.00 μB/f.u., respectively.